Entry 1:
Here is crystalline CsCeSiSe4 at its relaxed geometry from Alexandria. Energies are from PBE.

The structure in POSCAR format:
```
CsCeSiSe4
1.0
6.813 0.000 0.000
0.000 7.070 0.000
-3.171 0.000 9.420
Cs Ce Si Se
2 2 2 8
Direct
0.236 0.250 0.436
0.764 0.750 0.564
0.268 0.250 0.953
0.732 0.750 0.047
0.291 0.750 0.170
0.709 0.250 0.830
0.093 0.750 0.936
0.096 0.750 0.317
0.488 0.504 0.793
0.488 0.996 0.793
0.512 0.004 0.207
0.512 0.496 0.207
0.904 0.250 0.683
0.907 0.250 0.064
```

Output
- E (eV/atom) = -4.967
- calculated density (Mg/m³) = 4.516
- total magnetization (μB/atom) = 0.14
- uncorrected formation energy (eV/atom) = -1.2317
- SG = P2_1/m, No. 11


Entry 2:
Here is crystalline Cs4Ce3SmSe8 at its relaxed geometry from Alexandria. Energies are from PBE.

The structure in POSCAR format:
```
Cs4Ce3SmSe8
1.0
4.419 2.551 8.375
-4.419 2.551 8.375
0.000 -5.103 8.375
Cs Ce Sm Se
4 3 1 8
Direct
0.000 0.000 0.000
0.000 0.500 0.500
0.500 0.000 0.500
0.500 0.500 0.000
0.000 0.000 0.500
0.000 0.500 0.000
0.500 0.000 0.000
0.500 0.500 0.500
0.230 0.230 0.230
0.233 0.728 0.728
0.272 0.272 0.767
0.272 0.767 0.272
0.728 0.233 0.728
0.728 0.728 0.233
0.767 0.272 0.272
0.770 0.770 0.770
```

Output
- E (eV/atom) = -5.044
- calculated density (Mg/m³) = 5.082
- total magnetization (μB/atom) = 0.19
- uncorrected formation energy (eV/atom) = -1.6812
- SG = R-3m, No. 166


Entry 3:
Here is crystalline Cs2Ce2SmSe6 at its relaxed geometry from Alexandria. Energies are from PBE.

The structure in POSCAR format:
```
Cs2Ce2SmSe6
1.0
3.735 -6.470 0.000
3.735 6.470 0.000
-2.467 0.000 8.534
Cs Ce Sm Se
2 2 1 6
Direct
0.166 0.834 0.000
0.834 0.166 0.000
0.334 0.666 0.500
0.666 0.334 0.500
0.000 0.000 0.500
0.059 0.396 0.683
0.274 0.274 0.317
0.396 0.059 0.683
0.604 0.941 0.317
0.726 0.726 0.683
0.941 0.604 0.317
```

Output
- E (eV/atom) = -5.287
- calculated density (Mg/m³) = 4.711
- total magnetization (μB/atom) = 0.09
- uncorrected formation energy (eV/atom) = -1.7237
- SG = C2/m, No. 12


Entry 4:
Here is crystalline Cs2CeSm2Se6 at its relaxed geometry from Alexandria. Energies are from PBE.

The structure in POSCAR format:
```
Cs2CeSm2Se6
1.0
3.708 -6.411 0.000
3.708 6.411 0.000
-2.508 0.000 8.572
Cs Ce Sm Se
2 1 2 6
Direct
0.168 0.832 0.000
0.832 0.168 0.000
0.000 0.000 0.500
0.333 0.667 0.500
0.667 0.333 0.500
0.062 0.389 0.684
0.264 0.264 0.317
0.389 0.062 0.684
0.611 0.938 0.316
0.736 0.736 0.683
0.938 0.611 0.316
```

Output
- E (eV/atom) = -5.178
- calculated density (Mg/m³) = 4.810
- total magnetization (μB/atom) = 0.00
- uncorrected formation energy (eV/atom) = -1.7248
- SG = C2/m, No. 12


Entry 5:
Here is crystalline Cs3Ce2SmSe6 at its relaxed geometry from Alexandria. Energies are from PBE.

The structure in POSCAR format:
```
Cs3Ce2SmSe6
1.0
3.822 -6.620 0.000
3.822 6.620 0.000
-2.548 0.000 8.374
Cs Ce Sm Se
3 2 1 6
Direct
0.000 0.000 0.000
0.333 0.667 0.000
0.667 0.333 0.000
0.167 0.833 0.500
0.833 0.167 0.500
0.500 0.500 0.500
0.107 0.437 0.311
0.233 0.233 0.689
0.437 0.107 0.311
0.563 0.893 0.689
0.767 0.767 0.311
0.893 0.563 0.689
```

Output
- E (eV/atom) = -5.024
- calculated density (Mg/m³) = 5.106
- total magnetization (μB/atom) = 0.17
- uncorrected formation energy (eV/atom) = -1.6862
- SG = C2/m, No. 12


Entry 6:
Here is crystalline Cs3CeSm2Se6 at its relaxed geometry from Alexandria. Energies are from PBE.

The structure in POSCAR format:
```
Cs3CeSm2Se6
1.0
3.798 -6.579 0.000
3.798 6.579 0.000
-2.529 0.000 8.384
Cs Ce Sm Se
3 1 2 6
Direct
0.000 0.000 0.000
0.334 0.666 0.000
0.666 0.334 0.000
0.500 0.500 0.500
0.167 0.833 0.500
0.833 0.167 0.500
0.101 0.437 0.311
0.226 0.226 0.689
0.437 0.101 0.311
0.563 0.899 0.689
0.774 0.774 0.311
0.899 0.563 0.689
```

Output
- E (eV/atom) = -4.944
- calculated density (Mg/m³) = 5.205
- total magnetization (μB/atom) = 0.08
- uncorrected formation energy (eV/atom) = -1.7077
- SG = C2/m, No. 12


Entry 7:
Here is crystalline Cs2CeSnSe4 at its relaxed geometry from Alexandria. Energies are from PBE.

The structure in POSCAR format:
```
Cs2CeSnSe4
1.0
7.686 0.000 0.000
0.000 4.409 0.000
-2.482 0.000 8.251
Cs Ce Sn Se
2 1 1 4
Direct
0.000 0.000 0.000
0.500 0.500 0.000
0.000 0.500 0.500
0.500 0.000 0.500
0.217 0.000 0.684
0.254 0.500 0.314
0.746 0.500 0.686
0.783 0.000 0.316
```

Output
- E (eV/atom) = -4.436
- calculated density (Mg/m³) = 4.991
- total magnetization (μB/atom) = 0.00
- uncorrected formation energy (eV/atom) = -1.2383
- SG = P2/m, No. 10


Entry 8:
Here is crystalline Cs3Ce3SnSe8 at its relaxed geometry from Alexandria. Energies are from PBE.

The structure in POSCAR format:
```
Cs3Ce3SnSe8
1.0
4.357 2.515 8.369
-4.357 2.515 8.369
0.000 -5.031 8.369
Cs Ce Sn Se
3 3 1 8
Direct
0.000 0.500 0.500
0.500 0.000 0.500
0.500 0.500 0.000
0.000 0.000 0.500
0.000 0.500 0.000
0.500 0.000 0.000
0.500 0.500 0.500
0.215 0.733 0.733
0.229 0.229 0.229
0.267 0.267 0.785
0.267 0.785 0.267
0.733 0.215 0.733
0.733 0.733 0.215
0.771 0.771 0.771
0.785 0.267 0.267
```

Output
- E (eV/atom) = -4.943
- calculated density (Mg/m³) = 4.737
- total magnetization (μB/atom) = 0.07
- uncorrected formation energy (eV/atom) = -1.4601
- SG = R-3m, No. 166


Entry 9:
Here is crystalline Cs3Sr2CeSe6 at its relaxed geometry from Alexandria. Energies are from PBE.

The structure in POSCAR format:
```
Cs3Sr2CeSe6
1.0
3.933 -6.807 0.000
3.933 6.807 0.000
-2.618 0.000 8.305
Cs Sr Ce Se
3 2 1 6
Direct
0.000 0.000 0.000
0.328 0.672 0.000
0.672 0.328 0.000
0.166 0.834 0.500
0.834 0.166 0.500
0.500 0.500 0.500
0.127 0.437 0.310
0.256 0.256 0.692
0.437 0.127 0.310
0.563 0.873 0.690
0.744 0.744 0.308
0.873 0.563 0.690
```

Output
- E (eV/atom) = -4.259
- calculated density (Mg/m³) = 4.436
- total magnetization (μB/atom) = 0.00
- uncorrected formation energy (eV/atom) = -1.5288
- SG = C2/m, No. 12


Entry 10:
Here is crystalline Cs4SrCe3Se8 at its relaxed geometry from Alexandria. Energies are from PBE.

The structure in POSCAR format:
```
Cs4SrCe3Se8
1.0
4.457 2.573 8.344
-4.457 2.573 8.344
0.000 -5.146 8.344
Cs Sr Ce Se
4 1 3 8
Direct
0.000 0.000 0.000
0.000 0.500 0.500
0.500 0.000 0.500
0.500 0.500 0.000
0.500 0.500 0.500
0.000 0.000 0.500
0.000 0.500 0.000
0.500 0.000 0.000
0.213 0.738 0.738
0.229 0.229 0.229
0.262 0.262 0.787
0.262 0.787 0.262
0.738 0.213 0.738
0.738 0.738 0.213
0.771 0.771 0.771
0.787 0.262 0.262
```

Output
- E (eV/atom) = -4.851
- calculated density (Mg/m³) = 4.834
- total magnetization (μB/atom) = 0.13
- uncorrected formation energy (eV/atom) = -1.6773
- SG = R-3m, No. 166


Entry 11:
Here is crystalline Cs2SrCeSe4 at its relaxed geometry from Alexandria. Energies are from PBE.

The structure in POSCAR format:
```
Cs2SrCeSe4
1.0
7.747 0.000 0.000
0.000 4.484 0.000
-2.582 0.000 8.332
Cs Sr Ce Se
2 1 1 4
Direct
0.000 0.000 0.000
0.500 0.500 0.000
0.000 0.500 0.500
0.500 0.000 0.500
0.256 0.000 0.690
0.291 0.500 0.314
0.709 0.500 0.686
0.744 0.000 0.310
```

Output
- E (eV/atom) = -4.541
- calculated density (Mg/m³) = 4.644
- total magnetization (μB/atom) = 0.00
- uncorrected formation energy (eV/atom) = -1.6334
- SG = P2/m, No. 10


Entry 12:
Here is crystalline Cs2TbCeSe4 at its relaxed geometry from Alexandria. Energies are from PBE.

The structure in POSCAR format:
```
Cs2TbCeSe4
1.0
7.562 0.000 0.000
0.000 4.365 0.000
-2.513 0.000 8.371
Cs Tb Ce Se
2 1 1 4
Direct
0.000 0.000 0.000
0.500 0.500 0.000
0.000 0.500 0.500
0.500 0.000 0.500
0.222 0.000 0.686
0.264 0.500 0.312
0.736 0.500 0.688
0.778 0.000 0.314
```

Output
- E (eV/atom) = -4.971
- calculated density (Mg/m³) = 5.292
- total magnetization (μB/atom) = 0.13
- uncorrected formation energy (eV/atom) = -1.6943
- SG = P2/m, No. 10


Entry 13:
Here is crystalline Cs3TbCe3Se8 at its relaxed geometry from Alexandria. Energies are from PBE.

The structure in POSCAR format:
```
Cs3TbCe3Se8
1.0
4.328 2.499 8.487
-4.328 2.499 8.487
0.000 -4.997 8.487
Cs Tb Ce Se
3 1 3 8
Direct
0.000 0.500 0.500
0.500 0.000 0.500
0.500 0.500 0.000
0.500 0.500 0.500
0.000 0.000 0.500
0.000 0.500 0.000
0.500 0.000 0.000
0.229 0.229 0.229
0.230 0.726 0.726
0.274 0.274 0.770
0.274 0.770 0.274
0.726 0.230 0.726
0.726 0.726 0.230
0.770 0.274 0.274
0.771 0.771 0.771
```

Output
- E (eV/atom) = -5.239
- calculated density (Mg/m³) = 4.855
- total magnetization (μB/atom) = 0.13
- uncorrected formation energy (eV/atom) = -1.7144
- SG = R-3m, No. 166


Entry 14:
Here is crystalline Cs2CeTeSe4 at its relaxed geometry from Alexandria. Energies are from PBE.

The structure in POSCAR format:
```
Cs2CeTeSe4
1.0
-4.280 4.280 4.469
4.280 -4.280 4.469
4.280 4.280 -4.469
Cs Ce Te Se
2 1 1 4
Direct
0.000 0.000 0.000
0.750 0.250 0.500
0.250 0.750 0.500
0.500 0.500 0.000
0.276 0.711 0.131
0.289 0.420 0.565
0.580 0.145 0.869
0.855 0.724 0.435
```

Output
- E (eV/atom) = -4.047
- calculated density (Mg/m³) = 4.307
- total magnetization (μB/atom) = 0.01
- uncorrected formation energy (eV/atom) = -0.9567
- SG = I-4, No. 82


Entry 15:
Here is crystalline Cs3Ce2ThSe6 at its relaxed geometry from Alexandria. Energies are from PBE.

The structure in POSCAR format:
```
Cs3Ce2ThSe6
1.0
3.813 -6.604 0.000
3.813 6.604 0.000
-2.541 0.000 8.424
Cs Ce Th Se
3 2 1 6
Direct
0.000 0.000 0.000
0.332 0.668 0.000
0.668 0.332 0.000
0.167 0.833 0.500
0.833 0.167 0.500
0.500 0.500 0.500
0.110 0.436 0.309
0.238 0.238 0.691
0.436 0.110 0.309
0.564 0.890 0.691
0.762 0.762 0.309
0.890 0.564 0.691
```

Output
- E (eV/atom) = -5.188
- calculated density (Mg/m³) = 5.419
- total magnetization (μB/atom) = 0.23
- uncorrected formation energy (eV/atom) = -1.6254
- SG = C2/m, No. 12


Entry 16:
Here is crystalline Cs4CeTh3Se8 at its relaxed geometry from Alexandria. Energies are from PBE.

The structure in POSCAR format:
```
Cs4CeTh3Se8
1.0
4.333 2.502 8.499
-4.333 2.502 8.499
0.000 -5.004 8.499
Cs Ce Th Se
4 1 3 8
Direct
0.000 0.000 0.000
0.000 0.500 0.500
0.500 0.000 0.500
0.500 0.500 0.000
0.500 0.500 0.500
0.000 0.000 0.500
0.000 0.500 0.000
0.500 0.000 0.000
0.227 0.734 0.734
0.231 0.231 0.231
0.266 0.266 0.773
0.266 0.773 0.266
0.734 0.227 0.734
0.734 0.734 0.227
0.769 0.769 0.769
0.773 0.266 0.266
```

Output
- E (eV/atom) = -5.276
- calculated density (Mg/m³) = 6.006
- total magnetization (μB/atom) = 0.12
- uncorrected formation energy (eV/atom) = -1.5583
- SG = R-3m, No. 166


Entry 17:
Here is crystalline Cs3CeTh3Se8 at its relaxed geometry from Alexandria. Energies are from PBE.

The structure in POSCAR format:
```
Cs3CeTh3Se8
1.0
4.307 2.487 8.589
-4.307 2.487 8.589
0.000 -4.974 8.589
Cs Ce Th Se
3 1 3 8
Direct
0.000 0.500 0.500
0.500 0.000 0.500
0.500 0.500 0.000
0.500 0.500 0.500
0.000 0.000 0.500
0.000 0.500 0.000
0.500 0.000 0.000
0.224 0.733 0.733
0.231 0.231 0.231
0.267 0.267 0.776
0.267 0.776 0.267
0.733 0.224 0.733
0.733 0.733 0.224
0.769 0.769 0.769
0.776 0.267 0.267
```

Output
- E (eV/atom) = -5.526
- calculated density (Mg/m³) = 5.616
- total magnetization (μB/atom) = 0.13
- uncorrected formation energy (eV/atom) = -1.6172
- SG = R-3m, No. 166


Entry 18:
Here is crystalline CsCeTiSe4 at its relaxed geometry from Alexandria. Energies are from PBE.

The structure in POSCAR format:
```
CsCeTiSe4
1.0
7.040 0.000 0.000
0.000 7.100 0.000
-3.129 0.000 9.446
Cs Ce Ti Se
2 2 2 8
Direct
0.234 0.250 0.439
0.766 0.750 0.561
0.277 0.250 0.953
0.723 0.750 0.047
0.277 0.750 0.165
0.723 0.250 0.835
0.069 0.750 0.927
0.072 0.750 0.315
0.489 0.508 0.799
0.489 0.992 0.799
0.511 0.008 0.201
0.511 0.492 0.201
0.928 0.250 0.685
0.931 0.250 0.073
```

Output
- E (eV/atom) = -5.531
- calculated density (Mg/m³) = 4.479
- total magnetization (μB/atom) = 0.14
- uncorrected formation energy (eV/atom) = -1.4423
- SG = P2_1/m, No. 11


Entry 19:
Here is crystalline Cs4Ce3TiSe8 at its relaxed geometry from Alexandria. Energies are from PBE.

The structure in POSCAR format:
```
Cs4Ce3TiSe8
1.0
4.298 2.481 8.370
-4.298 2.481 8.370
0.000 -4.963 8.370
Cs Ce Ti Se
4 3 1 8
Direct
0.000 0.000 0.000
0.000 0.500 0.500
0.500 0.000 0.500
0.500 0.500 0.000
0.000 0.000 0.500
0.000 0.500 0.000
0.500 0.000 0.000
0.500 0.500 0.500
0.231 0.231 0.231
0.247 0.718 0.718
0.282 0.282 0.753
0.282 0.753 0.282
0.718 0.247 0.718
0.718 0.718 0.247
0.753 0.282 0.282
0.769 0.769 0.769
```

Output
- E (eV/atom) = -5.063
- calculated density (Mg/m³) = 5.058
- total magnetization (μB/atom) = 0.25
- uncorrected formation energy (eV/atom) = -1.5018
- SG = R-3m, No. 166


Entry 20:
Here is crystalline Cs4Ce3TlSe8 at its relaxed geometry from Alexandria. Energies are from PBE.

The structure in POSCAR format:
```
Cs4Ce3TlSe8
1.0
4.490 2.592 8.238
-4.490 2.592 8.238
0.000 -5.185 8.238
Cs Ce Tl Se
4 3 1 8
Direct
0.000 0.000 0.000
0.000 0.500 0.500
0.500 0.000 0.500
0.500 0.500 0.000
0.000 0.000 0.500
0.000 0.500 0.000
0.500 0.000 0.000
0.500 0.500 0.500
0.199 0.743 0.743
0.229 0.229 0.229
0.257 0.257 0.801
0.257 0.801 0.257
0.743 0.199 0.743
0.743 0.743 0.199
0.771 0.771 0.771
0.801 0.257 0.257
```

Output
- E (eV/atom) = -4.670
- calculated density (Mg/m³) = 5.160
- total magnetization (μB/atom) = 0.07
- uncorrected formation energy (eV/atom) = -1.4535
- SG = R-3m, No. 166